Below is crystalline TbCo2Si2 at its relaxed geometry, with properties calculated at the PBE level.

For the total DFT energy (no corrections), the calculation gives -6.641 eV per atom.

It has space group P4/mmm (No. 123), with a = 3.8796 Å, b = 3.8796 Å, c = 4.9373 Å, α = 90.00°, β = 90.00° and γ = 90.00°. Symmetry generates all atoms from Tb at (0.0000, 0.0000, 0.0000), Co at (0.0000, 0.5000, 0.5000) and Si at (0.5000, 0.5000, 0.2456).